DFT (PBE) results for an optimized crystal structure of Th6Re2Au.

extended XYZ file:
```
9
Lattice="-4.238 0.159 -1.133 2.079 0.405 -7.718 -1.191 -7.120 3.455" Properties=species:S:1:pos:R:3 pbc="T T T"
Th 1.520 0.296 -5.644
Th 0.239 -1.804 -1.145
Th -0.871 -5.206 2.527
Th -2.616 -2.894 0.876
Th -1.602 -3.831 -3.049
Th -1.251 0.248 -3.789
Re 0.989 -2.103 -3.993
Re -0.101 -4.612 -0.269
Au -2.119 0.079 -0.567
```

Values from the calculation:
Crystal system: hexagonal
Raw total energy: -0.595 Ry/atom
Space-group type: P-62m (189)
DFT formation energy: -13 meV per atom